Record 1
Below is a geometry-optimized Mn2SbPb structure, with properties calculated at the PBEsol level.

Density (g/cm3): 9.4
Total DFT energy (no corrections) (eV/atom): -6.571
Relative energy among the computed polymorphs (meV/atom): 19
Total moment (μB/cell): 6.67
Raw formation energy (eV/f.u.): 1.80

a = 3.420 Å, b = 3.420 Å, c = 6.617 Å
α = 90.00°, β = 90.00°, γ = 90.00°
Last column: magnetic moment on the atom in μB.
Fractional positions:
1 Mn 0.000 0.000 0.293  3.28
2 Mn 0.000 0.000 0.707  3.28
3 Pb 0.500 0.500 0.000  -0.01
4 Sb 0.500 0.500 0.500  -0.10

---

Record 2
Below is a geometry-optimized Mn2SbPb structure, with properties calculated at the PBEsol level.

Density (g/cm3): 9.4
Total DFT energy (no corrections) (eV/atom): -6.524
Relative energy among the computed polymorphs (meV/atom): 66
Total moment (μB/cell): 7.10
Raw formation energy (eV/f.u.): 1.98

a = 3.165 Å, b = 4.985 Å, c = 4.985 Å
α = 100.73°, β = 90.00°, γ = 90.00°
Last column: magnetic moment on the atom in μB.
Fractional positions:
1 Mn 0.000 0.500 0.000  3.47
2 Mn 0.000 0.000 0.500  3.47
3 Pb 0.500 0.000 0.000  -0.05
4 Sb 0.500 0.500 0.500  -0.04

---

Record 3
Below is a geometry-optimized Mn2SbPb structure, with properties calculated at the PBEsol level.

Density (g/cm3): 9.4
Total DFT energy (no corrections) (eV/atom): -6.590
Relative energy among the computed polymorphs (meV/atom): 0
Total moment (μB/cell): 6.16
Raw formation energy (eV/f.u.): 1.72

a = 3.424 Å, b = 3.343 Å, c = 6.873 Å
α = 90.00°, β = 100.95°, γ = 90.00°
Last column: magnetic moment on the atom in μB.
Fractional positions:
1 Sb 0.500 0.500 0.500  -0.11
2 Mn 0.942 0.000 0.301  3.09
3 Mn 0.058 0.000 0.699  3.09
4 Pb 0.500 0.500 0.000  -0.06

---

Record 4
Below is a geometry-optimized Mn2SbPb structure, with properties calculated at the PBEsol level.

Density (g/cm3): 9.4
Total DFT energy (no corrections) (eV/atom): -6.557
Relative energy among the computed polymorphs (meV/atom): 33
Total moment (μB/cell): 6.83
Raw formation energy (eV/f.u.): 1.85

a = 3.243 Å, b = 3.243 Å, c = 7.445 Å
α = 90.00°, β = 90.00°, γ = 99.37°
Last column: magnetic moment on the atom in μB.
Fractional positions:
1 Mn 0.000 0.000 0.771  3.39
2 Mn 0.000 0.000 0.229  3.39
3 Pb 0.500 0.500 0.500  -0.06
4 Sb 0.500 0.500 0.000  -0.08

---

Record 5
Below is a geometry-optimized Mn3SbPb structure, with properties calculated at the PBEsol level.

Density (g/cm3): 6.4
Total DFT energy (no corrections) (eV/atom): -6.208
Total moment (μB/cell): 12.51
Raw formation energy (eV/f.u.): 6.80

a = 5.039 Å, b = 5.039 Å, c = 5.039 Å
α = 90.00°, β = 90.00°, γ = 90.00°
Last column: magnetic moment on the atom in μB.
Fractional positions:
1 Mn 0.000 0.000 0.500  3.96
2 Mn 0.000 0.500 0.000  3.96
3 Mn 0.500 0.000 0.000  3.96
4 Sb 0.500 0.500 0.500  -0.08
5 Pb 0.000 0.000 0.000  -0.12

---

Record 6
Below is a geometry-optimized MnSbTe2Pb structure, with properties calculated at the PBEsol level.

Density (g/cm3): 5.7
Total DFT energy (no corrections) (eV/atom): -3.932
Total moment (μB/cell): 4.61
Raw formation energy (eV/f.u.): 5.71

a = 5.651 Å, b = 5.745 Å, c = 5.745 Å
α = 90.00°, β = 90.00°, γ = 90.00°
Last column: magnetic moment on the atom in μB.
Fractional positions:
1 Mn 0.500 0.500 0.500  4.60
2 Pb 0.000 0.000 0.000  0.00
3 Te 0.000 0.500 0.000  -0.03
4 Te 0.000 0.000 0.500  -0.03
5 Sb 0.500 0.000 0.000  -0.20

---

Record 7
Below is a geometry-optimized ScMn2Pb structure, with properties calculated at the PBEsol level.

Density (g/cm3): 8.3
Total DFT energy (no corrections) (eV/atom): -7.397
Total moment (μB/cell): 0.00
E_form (meV per atom): 134.5

a = 3.671 Å, b = 3.671 Å, c = 6.547 Å
α = 73.72°, β = 73.72°, γ = 60.00°
Fractional positions:
1 Mn 0.033 0.033 0.900
2 Mn 0.715 0.715 0.856
3 Sc 0.274 0.274 0.178
4 Pb 0.478 0.478 0.566

---

Record 8
Below is a geometry-optimized ScMn2Pb structure, with properties calculated at the PBEsol level.

Density (g/cm3): 8.4
Total DFT energy (no corrections) (eV/atom): -7.239
Total moment (μB/cell): 5.92
E_form (meV per atom): 292.2

a = 3.434 Å, b = 3.434 Å, c = 6.061 Å
α = 90.00°, β = 90.00°, γ = 90.00°
Last column: magnetic moment on the atom in μB.
Fractional positions:
1 Mn 0.000 0.000 0.265  3.16
2 Mn 0.000 0.000 0.735  3.16
3 Sc 0.500 0.500 0.500  -0.34
4 Pb 0.500 0.500 0.000  -0.09

---

Record 9
Below is a geometry-optimized ScMnPb structure, with properties calculated at the PBEsol level.

Density (g/cm3): 7.7
Total DFT energy (no corrections) (eV/atom): -6.580
Total moment (μB/cell): 3.83
E_form (meV per atom): 208.1

a = 4.537 Å, b = 4.537 Å, c = 4.537 Å
α = 60.00°, β = 60.00°, γ = 60.00°
Last column: magnetic moment on the atom in μB.
Fractional positions:
1 Sc 0.500 0.500 0.500  0.17
2 Mn 0.250 0.250 0.250  3.26
3 Pb 0.000 0.000 0.000  0.00

---

Record 10
Below is a geometry-optimized ScMnPb2 structure, with properties calculated at the PBEsol level.

Density (g/cm3): 9.7
Total DFT energy (no corrections) (eV/atom): -5.945
Total moment (μB/cell): 4.15
E_form (meV per atom): 145.4

a = 3.278 Å, b = 4.073 Å, c = 6.580 Å
α = 90.00°, β = 90.00°, γ = 90.00°
Last column: magnetic moment on the atom in μB.
Fractional positions:
1 Mn 0.500 0.500 0.500  3.71
2 Pb 0.000 0.000 0.262  -0.02
3 Pb 0.000 0.000 0.738  -0.02
4 Sc 0.500 0.500 0.000  0.19

---

Record 11
Below is a geometry-optimized MnPbSe2 structure, with properties calculated at the PBEsol level.

Density (g/cm3): 7.9
Total DFT energy (no corrections) (eV/atom): -5.300
Total moment (μB/cell): 4.87
Raw formation energy (eV/f.u.): 0.26

a = 3.572 Å, b = 4.980 Å, c = 4.980 Å
α = 90.00°, β = 90.00°, γ = 90.00°
Last column: magnetic moment on the atom in μB.
Fractional positions:
1 Mn 0.500 0.500 0.500  4.34
2 Pb 0.500 0.000 0.000  0.00
3 Se 0.000 0.000 0.500  0.06
4 Se 0.000 0.500 0.000  0.06

---

Record 12
Below is a geometry-optimized MnPbSe3 structure, with properties calculated at the PBEsol level.

Density (g/cm3): 5.5
Total DFT energy (no corrections) (eV/atom): -4.237
Total moment (μB/cell): 4.97
Raw formation energy (eV/f.u.): 4.12

a = 5.306 Å, b = 5.306 Å, c = 5.306 Å
α = 90.00°, β = 90.00°, γ = 90.00°
Last column: magnetic moment on the atom in μB.
Fractional positions:
1 Se 0.500 0.000 0.000  -0.01
2 Se 0.000 0.000 0.500  -0.01
3 Se 0.000 0.500 0.000  -0.01
4 Mn 0.500 0.500 0.500  4.57
5 Pb 0.000 0.000 0.000  0.00